# CrGaIN2

An optimized crystal structure of CrGaIN2 (PBE-GGA, Alexandria).

Geometry as POSCAR:
```
CrGaIN2
1.0
3.8502 0.0000 0.0000
0.0000 3.8502 0.0000
0.0000 0.0000 5.5335
Ga N Cr I
1 2 1 1
Direct
0.5000 0.5000 0.5000
0.5000 0.0000 0.0000
0.0000 0.5000 0.0000
0.0000 0.0000 0.0000
0.0000 0.0000 0.5000
```

Output
Uncorrected formation energy   0.732 eV per atom
SG   P4/mmm, No. 123
Final energy   -27.2 eV/cell
Magnetization   0.00 μB/f.u.